Entry 1:
{
  "formula": "CaLa3Ce2Te6",
  "functional": "GGA-PBE",
  "state": "optimized geometry",
  "cell": [[9.900, -2.259, 0.000], [9.900, 2.259, 0.000], [-2.086, 0.000, 8.889]],
  "species": ["Ca", "La", "La", "La", "Ce", "Ce", "Te", "Te", "Te", "Te", "Te", "Te"],
  "fractional_positions": [[0.000, 0.000, 0.000], [0.000, 0.000, 0.500], [0.332, 0.332, 0.169], [0.668, 0.668, 0.831], [0.331, 0.331, 0.663], [0.669, 0.669, 0.337], [0.163, 0.163, 0.085], [0.167, 0.167, 0.580], [0.498, 0.498, 0.757], [0.502, 0.502, 0.243], [0.833, 0.833, 0.420], [0.837, 0.837, 0.915]],
  "raw_formation_energy_ev_per_fu": -18.2
}



Entry 2:
{
  "formula": "CaLa4Ce3Te8",
  "functional": "GGA-PBE",
  "state": "optimized geometry",
  "cell": [[4.538, 2.620, 7.430], [-4.538, 2.620, 7.430], [0.000, -5.240, 7.430]],
  "species": ["Ca", "La", "La", "La", "La", "Ce", "Ce", "Ce", "Te", "Te", "Te", "Te", "Te", "Te", "Te", "Te"],
  "fractional_positions": [[0.000, 0.000, 0.000], [0.000, 0.000, 0.500], [0.000, 0.500, 0.000], [0.500, 0.000, 0.000], [0.500, 0.500, 0.500], [0.000, 0.500, 0.500], [0.500, 0.000, 0.500], [0.500, 0.500, 0.000], [0.246, 0.246, 0.750], [0.246, 0.750, 0.246], [0.250, 0.754, 0.754], [0.252, 0.252, 0.252], [0.748, 0.748, 0.748], [0.750, 0.246, 0.246], [0.754, 0.250, 0.754], [0.754, 0.754, 0.250]],
  "raw_formation_energy_ev_per_fu": -24.1
}



Entry 3:
{
  "formula": "Ca2LaCeTl4",
  "functional": "GGA-PBE",
  "state": "optimized geometry",
  "cell": [[2.773, 1.601, 9.065], [-2.773, 1.601, 9.065], [0.000, -3.202, 9.065]],
  "species": ["Ca", "Ca", "La", "Ce", "Tl", "Tl", "Tl", "Tl"],
  "fractional_positions": [[0.250, 0.250, 0.250], [0.750, 0.750, 0.750], [0.000, 0.000, 0.000], [0.500, 0.500, 0.500], [0.126, 0.126, 0.126], [0.377, 0.377, 0.377], [0.623, 0.623, 0.623], [0.874, 0.874, 0.874]],
  "delta_e_f_mev_per_atom": -385
}



Entry 4:
{
  "formula": "CaLa2CeTl4",
  "functional": "GGA-PBE",
  "state": "optimized geometry",
  "cell": [[2.782, 1.606, 9.217], [-2.782, 1.606, 9.217], [0.000, -3.213, 9.217]],
  "species": ["Ca", "La", "La", "Ce", "Tl", "Tl", "Tl", "Tl"],
  "fractional_positions": [[0.000, 0.000, 0.000], [0.255, 0.255, 0.255], [0.745, 0.745, 0.745], [0.500, 0.500, 0.500], [0.127, 0.127, 0.127], [0.377, 0.377, 0.377], [0.623, 0.623, 0.623], [0.873, 0.873, 0.873]],
  "delta_e_f_mev_per_atom": -374
}



Entry 5:
{
  "formula": "CaLaCe2Tl4",
  "functional": "GGA-PBE",
  "state": "optimized geometry",
  "cell": [[2.765, 1.596, 9.159], [-2.765, 1.596, 9.159], [0.000, -3.193, 9.159]],
  "species": ["Ca", "La", "Ce", "Ce", "Tl", "Tl", "Tl", "Tl"],
  "fractional_positions": [[0.000, 0.000, 0.000], [0.500, 0.500, 0.500], [0.254, 0.254, 0.254], [0.746, 0.746, 0.746], [0.125, 0.125, 0.125], [0.375, 0.375, 0.375], [0.625, 0.625, 0.625], [0.875, 0.875, 0.875]],
  "delta_e_f_mev_per_atom": -315
}



Entry 6:
{
  "formula": "CaLaCeTm",
  "functional": "GGA-PBE",
  "state": "optimized geometry",
  "cell": [[8.244, 0.000, 0.000], [0.000, 8.244, 0.000], [0.000, 0.000, 8.244]],
  "species": ["Ca", "Ca", "Ca", "Ca", "La", "La", "La", "La", "Ce", "Ce", "Ce", "Ce", "Tm", "Tm", "Tm", "Tm"],
  "fractional_positions": [[0.000, 0.000, 0.000], [0.000, 0.500, 0.500], [0.500, 0.000, 0.500], [0.500, 0.500, 0.000], [0.250, 0.250, 0.750], [0.250, 0.750, 0.250], [0.750, 0.250, 0.250], [0.750, 0.750, 0.750], [0.000, 0.000, 0.500], [0.000, 0.500, 0.000], [0.500, 0.000, 0.000], [0.500, 0.500, 0.500], [0.250, 0.250, 0.250], [0.250, 0.750, 0.750], [0.750, 0.250, 0.750], [0.750, 0.750, 0.250]],
  "delta_e_f_mev_per_atom": 248
}



Entry 7:
{
  "formula": "Li2CaCe",
  "functional": "GGA-PBE",
  "state": "optimized geometry",
  "cell": [[3.708, 0.000, 0.000], [0.000, 3.708, 0.000], [0.000, 0.000, 8.166]],
  "species": ["Li", "Li", "Ca", "Ce"],
  "fractional_positions": [[0.000, 0.000, 0.243], [0.000, 0.000, 0.757], [0.500, 0.500, 0.500], [0.500, 0.500, 0.000]],
  "polymorph_energy_mev_per_atom": 0,
  "delta_e_f_mev_per_atom": 197
}



Entry 8:
{
  "formula": "LiCaCe",
  "functional": "GGA-PBE",
  "state": "optimized geometry",
  "cell": [[3.915, 0.000, 0.000], [0.000, 3.915, 0.000], [0.000, 0.000, 12.232]],
  "species": ["Li", "Li", "Ca", "Ca", "Ce", "Ce"],
  "fractional_positions": [[0.250, 0.250, 0.049], [0.750, 0.750, 0.951], [0.250, 0.250, 0.769], [0.750, 0.750, 0.231], [0.250, 0.750, 0.500], [0.750, 0.250, 0.500]],
  "delta_e_f_mev_per_atom": 238
}